[1]
PBE Li2Ga12Ag5, relaxed; magnetic moment = 0.00 μB/cell; final energy = -2.9074 eV/atom; formation energy from the elements = -4.2 kJ per mole of atoms
1.0
-3.809 -2.848 0.337
3.959 -5.827 -4.500
1.257 -0.549 9.581
Li Ga Ag
2 12 5
direct
0.000 0.682 0.000 Li
0.000 0.318 0.000 Li
0.003 0.078 0.156 Ga
0.852 0.987 0.605 Ga
0.852 0.618 0.605 Ga
0.385 0.098 0.758 Ga
0.385 0.660 0.758 Ga
0.562 0.427 0.855 Ga
0.438 0.573 0.145 Ga
0.615 0.902 0.242 Ga
0.615 0.340 0.242 Ga
0.148 0.013 0.395 Ga
0.148 0.382 0.395 Ga
0.997 0.922 0.844 Ga
0.590 0.250 0.499 Ag
0.063 0.350 0.700 Ag
0.500 0.000 0.000 Ag
0.937 0.650 0.300 Ag
0.410 0.750 0.501 Ag

[2]
PBE Li12GaAg7, relaxed; magnetic moment = 0.00 μB/cell; final energy = -2.3967 eV/atom; formation energy from the elements = -9.6 kJ per mole of atoms
1.0
6.853 0.742 1.113
-1.193 6.789 1.113
-1.193 -1.587 6.694
Li Ga Ag
12 1 7
direct
0.878 0.259 0.747 Li
0.741 0.253 0.122 Li
0.618 0.149 0.489 Li
0.851 0.511 0.382 Li
0.253 0.122 0.741 Li
0.511 0.382 0.851 Li
0.489 0.618 0.149 Li
0.747 0.878 0.259 Li
0.149 0.489 0.618 Li
0.382 0.851 0.511 Li
0.259 0.747 0.878 Li
0.122 0.741 0.253 Li
0.000 0.000 0.000 Ga
0.846 0.620 0.957 Ag
0.380 0.043 0.154 Ag
0.043 0.154 0.380 Ag
0.500 0.500 0.500 Ag
0.957 0.846 0.620 Ag
0.620 0.957 0.846 Ag
0.154 0.380 0.043 Ag

[3]
PBE Li2Ga4Ag3, relaxed; magnetic moment = 0.00 μB/cell; final energy = -2.8813 eV/atom; formation energy from the elements = -15.5 kJ per mole of atoms
1.0
-1.606 3.157 1.995
-2.375 -1.244 4.197
5.561 1.524 6.207
Li Ga Ag
2 4 3
direct
0.336 0.105 0.222 Li
0.664 0.895 0.778 Li
0.668 0.553 0.111 Ga
0.002 0.331 0.665 Ga
0.998 0.669 0.335 Ga
0.332 0.447 0.889 Ga
0.327 0.776 0.569 Ag
0.000 0.000 0.000 Ag
0.673 0.224 0.431 Ag

[4]
PBE Li3Ga2Ag6, relaxed; magnetic moment = 0.00 μB/cell; final energy = -2.8157 eV/atom; formation energy from the elements = -18.2 kJ per mole of atoms
1.0
4.165 -0.636 1.834
-0.574 4.564 2.569
2.473 4.202 13.678
Li Ga Ag
3 2 6
direct
0.000 0.000 0.000 Li
0.828 0.470 0.448 Li
0.172 0.530 0.552 Li
0.099 0.283 0.268 Ga
0.901 0.717 0.732 Ga
0.291 0.827 0.807 Ag
0.640 0.924 0.907 Ag
0.709 0.173 0.193 Ag
0.360 0.076 0.093 Ag
0.555 0.654 0.629 Ag
0.445 0.346 0.371 Ag

[5]
PBE LiGa3Ag4, relaxed; magnetic moment = 0.00 μB/cell; final energy = -2.8749 eV/atom; formation energy from the elements = -7.2 kJ per mole of atoms
1.0
2.896 0.000 0.000
0.000 5.215 -0.551
-1.448 -3.174 9.456
Li Ga Ag
1 3 4
direct
0.500 0.000 0.000 Li
0.000 0.500 0.000 Ga
0.248 0.242 0.496 Ga
0.752 0.758 0.504 Ga
0.621 0.886 0.242 Ag
0.379 0.114 0.758 Ag
0.875 0.610 0.750 Ag
0.125 0.390 0.250 Ag

[6]
PBE Li3GaAg6, relaxed; magnetic moment = 0.00 μB/cell; final energy = -2.7377 eV/atom; formation energy from the elements = -14.5 kJ per mole of atoms
1.0
-1.170 4.562 -0.494
-6.955 -1.481 2.801
6.661 2.483 7.144
Li Ga Ag
6 2 12
direct
0.250 0.556 0.373 Li
0.750 0.444 0.627 Li
0.250 0.364 0.775 Li
0.750 0.636 0.225 Li
0.250 0.771 0.976 Li
0.750 0.229 0.024 Li
0.250 0.964 0.576 Ga
0.750 0.036 0.424 Ga
0.250 0.466 0.072 Ag
0.750 0.534 0.928 Ag
0.250 0.166 0.170 Ag
0.750 0.834 0.830 Ag
0.250 0.659 0.668 Ag
0.750 0.341 0.332 Ag
0.250 0.263 0.480 Ag
0.750 0.737 0.520 Ag
0.250 0.855 0.275 Ag
0.750 0.145 0.725 Ag
0.250 0.067 0.868 Ag
0.750 0.933 0.132 Ag

[7]
PBE Li12Ga2Ag, relaxed; magnetic moment = 0.00 μB/cell; final energy = -2.2045 eV/atom; formation energy from the elements = -7.7 kJ per mole of atoms
1.0
5.400 -1.419 0.000
-1.419 5.400 0.000
0.000 0.000 19.074
Li Ga Ag
24 4 2
direct
0.500 0.500 0.786 Li
0.000 0.000 0.786 Li
0.750 0.750 0.929 Li
0.250 0.750 0.865 Li
0.000 0.000 0.349 Li
0.250 0.750 0.135 Li
0.750 0.250 0.615 Li
0.500 0.500 0.349 Li
0.250 0.250 0.929 Li
0.750 0.750 0.071 Li
0.370 0.130 0.500 Li
0.750 0.250 0.385 Li
0.000 0.000 0.651 Li
0.130 0.370 0.500 Li
0.250 0.250 0.071 Li
0.870 0.630 0.500 Li
0.630 0.870 0.500 Li
0.000 0.000 0.214 Li
0.250 0.750 0.615 Li
0.500 0.500 0.651 Li
0.750 0.250 0.865 Li
0.500 0.500 0.214 Li
0.250 0.750 0.385 Li
0.750 0.250 0.135 Li
0.500 0.000 0.263 Ga
0.000 0.500 0.263 Ga
0.000 0.500 0.737 Ga
0.500 0.000 0.737 Ga
0.500 0.000 0.000 Ag
0.000 0.500 0.000 Ag

[8]
PBE Li3Ga4Ag3, relaxed; magnetic moment = 0.00 μB/cell; final energy = -2.7963 eV/atom; formation energy from the elements = -15.1 kJ per mole of atoms
1.0
-1.125 3.178 -0.911
-1.509 -2.368 -6.394
-6.456 -1.698 2.052
Li Ga Ag
3 4 3
direct
0.500 0.834 0.166 Li
0.500 0.337 0.335 Li
0.500 0.665 0.663 Li
0.000 0.631 0.369 Ga
0.000 0.366 0.634 Ga
0.000 0.864 0.863 Ga
0.000 0.137 0.136 Ga
0.000 0.507 0.004 Ag
0.000 0.996 0.493 Ag
0.500 0.163 0.837 Ag